# YZn2P (SCAN, single point on PBEsol structure)
# * total magnetization: 0.0 μB/f.u.
# * N(E_F): 0.190 states/eV/atom
# * ΔE_f: -0.60 eV per atom
# * calculated total energy: -67.7 eV/f.u.
data_YZn2P
_chemical_formula_sum 'Y2 Zn4 P2'
_symmetry_space_group_name_H-M 'C 1 m 1'
_symmetry_Int_Tables_number 8
_cell_length_a 8.974
_cell_length_b 3.783
_cell_length_c 4.548
_cell_angle_alpha 90.00
_cell_angle_beta 105.99
_cell_angle_gamma 90.00
loop_
_symmetry_equiv_pos_as_xyz
'x,y,z'
'x,-y,z'
'x+1/2,y+1/2,z'
'x+1/2,-y+1/2,z'
loop_
_atom_site_label
_atom_site_type_symbol
_atom_site_fract_x
_atom_site_fract_y
_atom_site_fract_z
_atom_site_occupancy
Y1 Y 0.000 0.000 0.000 1
Zn1 Zn 0.131 0.500 0.588 1
Zn2 Zn 0.338 0.000 0.470 1
P1 P 0.234 0.500 0.148 1

---

# Y2ZnP (SCAN, single point on PBEsol structure)
# * energy above the lowest structure with this stoichiometry: 0 meV per atom
# * total magnetization: 0.0 μB/f.u.
# * N(E_F): 0.786 states/eV/atom
# * ΔE_f: -1.02 eV per atom
# * calculated total energy: -83.7 eV/f.u.
data_Y2ZnP
_chemical_formula_sum 'Y6 Zn3 P3'
_symmetry_space_group_name_H-M 'R -3 m'
_symmetry_Int_Tables_number 166
_symmetry_space_group_name_Hall '-R 3 2"'
_cell_length_a 3.9109
_cell_length_b 3.9109
_cell_length_c 21.0180
_cell_angle_alpha 90.00
_cell_angle_beta 90.00
_cell_angle_gamma 120.00
loop_
_atom_site_label
_atom_site_type_symbol
_atom_site_fract_x
_atom_site_fract_y
_atom_site_fract_z
_atom_site_occupancy
Y1 Y 0.0000 0.0000 0.2402 1
Zn1 Zn 0.0000 0.0000 0.0000 1
P1 P 0.0000 0.0000 0.5000 1

---

# YZnP3 (SCAN, single point on PBEsol structure)
# * total magnetization: 0.0 μB/f.u.
# * N(E_F): 0.756 states/eV/atom
# * ΔE_f: 0.85 eV per atom
# * calculated total energy: -68.3 eV/f.u.
data_YZnP3
_chemical_formula_sum 'Y1 Zn1 P3'
_symmetry_space_group_name_H-M 'P m -3 m'
_symmetry_Int_Tables_number 221
_symmetry_space_group_name_Hall '-P 4 2 3'
_cell_length_a 5.149
_cell_length_b 5.149
_cell_length_c 5.149
_cell_angle_alpha 90.00
_cell_angle_beta 90.00
_cell_angle_gamma 90.00
loop_
_atom_site_label
_atom_site_type_symbol
_atom_site_fract_x
_atom_site_fract_y
_atom_site_fract_z
_atom_site_occupancy
Y1 Y 0.000 0.000 0.000 1
Zn1 Zn 0.500 0.500 0.500 1
P1 P 0.000 0.000 0.500 1

---

# Y2ZnP2 (SCAN, single point on PBEsol structure)
# * total magnetization: 0.0 μB/f.u.
# * N(E_F): 0.078 states/eV/atom
# * ΔE_f: -1.17 eV per atom
# * calculated total energy: -95.9 eV/f.u.
data_Y2ZnP2
_chemical_formula_sum 'Y4 Zn2 P4'
_symmetry_space_group_name_H-M 'P 4/m b m'
_symmetry_Int_Tables_number 127
_symmetry_space_group_name_Hall '-P 4 2ab'
_cell_length_a 7.190
_cell_length_b 7.190
_cell_length_c 3.738
_cell_angle_alpha 90.00
_cell_angle_beta 90.00
_cell_angle_gamma 90.00
loop_
_atom_site_label
_atom_site_type_symbol
_atom_site_fract_x
_atom_site_fract_y
_atom_site_fract_z
_atom_site_occupancy
Y1 Y 0.158 0.342 0.000 1
Zn1 Zn 0.000 0.000 0.500 1
P1 P 0.152 0.652 0.500 1

---

# Y2ZnP (SCAN, single point on PBEsol structure)
# * energy above the lowest structure with this stoichiometry: 4 meV per atom
# * total magnetization: 0.0 μB/f.u.
# * N(E_F): 0.675 states/eV/atom
# * ΔE_f: -1.02 eV per atom
# * calculated total energy: -83.7 eV/f.u.
data_Y2ZnP
_chemical_formula_sum 'Y4 Zn2 P2'
_symmetry_space_group_name_H-M 'A m m 2'
_symmetry_Int_Tables_number 38
_cell_length_a 3.879
_cell_length_b 4.099
_cell_length_c 10.516
_cell_angle_alpha 90.00
_cell_angle_beta 90.00
_cell_angle_gamma 90.00
loop_
_symmetry_equiv_pos_as_xyz
'x,y,z'
'-x,-y,z'
'-x,y,z'
'x,-y,z'
'x,y+1/2,z+1/2'
'-x,-y+1/2,z+1/2'
'-x,y+1/2,z+1/2'
'x,-y+1/2,z+1/2'
loop_
_atom_site_label
_atom_site_type_symbol
_atom_site_fract_x
_atom_site_fract_y
_atom_site_fract_z
_atom_site_occupancy
Y1 Y 0.000 0.000 0.000 1
Y2 Y 0.500 0.000 0.285 1
Zn1 Zn 0.500 0.000 0.567 1
P1 P 0.000 0.000 0.722 1

---

# Y2ZnP (SCAN, single point on PBEsol structure)
# * energy above the lowest structure with this stoichiometry: 271 meV per atom
# * total magnetization: 0.0 μB/f.u.
# * N(E_F): 0.501 states/eV/atom
# * ΔE_f: -0.75 eV per atom
# * calculated total energy: -82.6 eV/f.u.
data_Y2ZnP
_chemical_formula_sum 'Y4 Zn2 P2'
_symmetry_space_group_name_H-M 'I m m 2'
_symmetry_Int_Tables_number 44
_cell_length_a 3.716
_cell_length_b 4.297
_cell_length_c 10.354
_cell_angle_alpha 90.00
_cell_angle_beta 90.00
_cell_angle_gamma 90.00
loop_
_symmetry_equiv_pos_as_xyz
'x,y,z'
'-x,-y,z'
'-x,y,z'
'x,-y,z'
'x+1/2,y+1/2,z+1/2'
'-x+1/2,-y+1/2,z+1/2'
'-x+1/2,y+1/2,z+1/2'
'x+1/2,-y+1/2,z+1/2'
loop_
_atom_site_label
_atom_site_type_symbol
_atom_site_fract_x
_atom_site_fract_y
_atom_site_fract_z
_atom_site_occupancy
Y1 Y 0.000 0.000 0.000 1
Y2 Y 0.000 0.500 0.237 1
Zn1 Zn 0.000 0.500 0.782 1
P1 P 0.000 0.000 0.453 1

---

# Y2ZnP (SCAN, single point on PBEsol structure)
# * energy above the lowest structure with this stoichiometry: 1125 meV per atom
# * total magnetization: 0.0 μB/f.u.
# * N(E_F): 0.987 states/eV/atom
# * ΔE_f: 0.10 eV per atom
# * calculated total energy: -79.2 eV/f.u.
data_Y2ZnP
_chemical_formula_sum 'Y8 Zn4 P4'
_symmetry_space_group_name_H-M 'F -4 3 m'
_symmetry_Int_Tables_number 216
_symmetry_space_group_name_Hall 'F -4 2 3'
_cell_length_a 6.911
_cell_length_b 6.911
_cell_length_c 6.911
_cell_angle_alpha 90.00
_cell_angle_beta 90.00
_cell_angle_gamma 90.00
loop_
_atom_site_label
_atom_site_type_symbol
_atom_site_fract_x
_atom_site_fract_y
_atom_site_fract_z
_atom_site_occupancy
Y1 Y 0.000 0.000 0.000 1
Y2 Y 0.250 0.250 0.250 1
Zn1 Zn 0.250 0.250 0.750 1
P1 P 0.000 0.000 0.500 1

---

# Y2ZnP (SCAN, single point on PBEsol structure)
# * energy above the lowest structure with this stoichiometry: 158 meV per atom
# * total magnetization: 0.0 μB/f.u.
# * N(E_F): 0.598 states/eV/atom
# * ΔE_f: -0.87 eV per atom
# * calculated total energy: -83.1 eV/f.u.
data_Y2ZnP
_chemical_formula_sum 'Y2 Zn1 P1'
_symmetry_space_group_name_H-M 'P 1 2/m 1'
_symmetry_Int_Tables_number 10
_cell_length_a 3.548
_cell_length_b 3.549
_cell_length_c 6.512
_cell_angle_alpha 90.00
_cell_angle_beta 90.10
_cell_angle_gamma 90.00
loop_
_symmetry_equiv_pos_as_xyz
'x,y,z'
'-x,-y,-z'
'-x,y,-z'
'x,-y,z'
loop_
_atom_site_label
_atom_site_type_symbol
_atom_site_fract_x
_atom_site_fract_y
_atom_site_fract_z
_atom_site_occupancy
Y1 Y 0.001 0.000 0.265 1
Zn1 Zn 0.500 0.500 0.000 1
P1 P 0.500 0.500 0.500 1